No. 1
## SrLi17Mg (PBE)

Data for a relaxed structure of SrLi17Mg.

It has space group R3m (No. 160, hexagonal axes), with a = 9.6311 Å, b = 9.6311 Å, c = 15.6747 Å, α = 90.00°, β = 90.00° and γ = 120.00°. The inequivalent atoms are Sr at (0.0000, 0.0000, 0.0000), Li at (0.0000, 0.0000, 0.5753), Li at (0.0000, 0.0000, 0.7511), Li at (0.0368, 0.3570, 0.3304), Li at (0.1843, 0.3687, 0.5024), Li at (0.1952, 0.3903, 0.1405), Li at (0.2078, 0.4156, 0.8552) and Mg at (0.0000, 0.0000, 0.3455).

The energy relative to the elements is 0.03 eV per atom. For the density of states at the Fermi level, the calculation gives 0.364 states/eV per atom. Its magnetization is 0.00 μB/f.u. The total energy comes out at -1.853 eV/atom.

=====

No. 2
## BeMo3Rh (PBE)

Data for a relaxed structure of BeMo3Rh.

It has space group Pm-3m (No. 221), with a = 4.677 Å, b = 4.677 Å, c = 4.677 Å, α = 90.00°, β = 90.00° and γ = 90.00°. The inequivalent atoms are Be at (0.000, 0.000, 0.000), Mo at (0.000, 0.500, 0.500) and Rh at (0.500, 0.500, 0.500).

The energy relative to the elements is 1.95 eV per atom. For the energy above the most stable polymorph in this dataset, the calculation gives 1.3349 eV per atom. For the density of states at the Fermi level, the calculation gives 1.105 states/eV per atom. Its magnetization is 0.00 μB/f.u. The total energy comes out at -6.760 eV/atom.

=====

No. 3
## Zn2BIrAu (PBE)

Data for a relaxed structure of Zn2BIrAu.

It has space group P4/mmm (No. 123), with a = 4.203 Å, b = 4.203 Å, c = 4.064 Å, α = 90.00°, β = 90.00° and γ = 90.00°. The inequivalent atoms are Zn at (0.000, 0.500, 0.000), B at (0.000, 0.000, 0.000), Ir at (0.000, 0.000, 0.500) and Au at (0.500, 0.500, 0.500).

The energy relative to the elements is 0.16 eV per atom. For the density of states at the Fermi level, the calculation gives 0.502 states/eV per atom. Its magnetization is 0.00 μB/f.u. The total energy comes out at -4.109 eV/atom.

=====

No. 4
## CePbSe (PBE)

Data for a relaxed structure of CePbSe.

It has space group I4/mmm (No. 139), with a = 4.274 Å, b = 4.274 Å, c = 18.148 Å, α = 90.00°, β = 90.00° and γ = 90.00°. The inequivalent atoms are Ce at (0.000, 0.000, 0.155), Pb at (0.000, 0.500, 0.000) and Se at (0.000, 0.000, 0.318).

For the density of states at the Fermi level, the calculation gives 2.031 states/eV per atom. Its magnetization is 0.56 μB/f.u. As for the uncorrected formation energy: -1.098 eV per atom. The total energy comes out at -5.473 eV/atom.

=====

No. 5
## Cd4In4Pb5 (PBE)

Data for a relaxed structure of Cd4In4Pb5.

It has space group I4/m (No. 87), with a = 12.765 Å, b = 12.765 Å, c = 4.423 Å, α = 90.00°, β = 90.00° and γ = 90.00°. The inequivalent atoms are Cd at (0.075, 0.601, 0.000), In at (0.153, 0.239, 0.000), Pb at (0.000, 0.000, 0.000) and Pb at (0.043, 0.794, 0.500).

The energy relative to the elements is 0.03 eV per atom. For the density of states at the Fermi level, the calculation gives 0.313 states/eV per atom. Its magnetization is 0.00 μB/f.u. The total energy comes out at -2.523 eV/atom.

=====

No. 6
## ZnReIr4 (PBE)

Data for a relaxed structure of ZnReIr4.

It has space group F-43m (No. 216), with a = 7.247 Å, b = 7.247 Å, c = 7.247 Å, α = 90.00°, β = 90.00° and γ = 90.00°. The inequivalent atoms are Zn at (0.000, 0.000, 0.000), Re at (0.250, 0.250, 0.250) and Ir at (0.125, 0.125, 0.625).

The energy relative to the elements is 0.55 eV per atom. For the density of states at the Fermi level, the calculation gives 1.157 states/eV per atom. Its magnetization is 0.00 μB/f.u. The total energy comes out at -7.644 eV/atom.

=====

No. 7
## RbMgAgCl4 (PBE)

Data for a relaxed structure of RbMgAgCl4.

It has space group P2_1/m (No. 11), with a = 6.640 Å, b = 7.368 Å, c = 8.889 Å, α = 90.00°, β = 104.63° and γ = 90.00°. The inequivalent atoms are Rb at (0.248, 0.250, 0.058), Mg at (0.237, 0.750, 0.323), Ag at (0.160, 0.250, 0.521), Cl at (0.013, 0.011, 0.708), Cl at (0.346, 0.750, 0.094) and Cl at (0.491, 0.750, 0.559).

For the density of states at the Fermi level, the calculation gives 0.000 states/eV per atom. Its magnetization is 0.00 μB/f.u. As for the uncorrected formation energy: -1.457 eV per atom. The total energy comes out at -3.285 eV/atom.

=====

No. 8
## MnBeSnIr2 (PBE)

Data for a relaxed structure of MnBeSnIr2.

It has space group P4/mmm (No. 123), with a = 4.858 Å, b = 4.858 Å, c = 4.278 Å, α = 90.00°, β = 90.00° and γ = 90.00°. The inequivalent atoms are Mn at (0.000, 0.000, 0.000), Be at (0.500, 0.500, 0.000), Sn at (0.500, 0.500, 0.500) and Ir at (0.000, 0.500, 0.500).

The energy relative to the elements is 1.49 eV per atom. For the density of states at the Fermi level, the calculation gives 0.604 states/eV per atom. Its magnetization is 5.22 μB/f.u. The total energy comes out at -5.432 eV/atom.